{"formula": "Mn2Tl2IrO6", "functional": "PBE+U", "state": "relaxed", "cell": [[5.480, -0.080, 0.076], [-2.778, 4.724, 0.076], [-0.924, -1.588, 6.385]], "species": ["Ir", "O", "O", "Tl", "Mn", "O", "Mn", "Tl", "O", "O", "O"], "fractional_positions": [[0.000, 0.000, 0.500], [0.376, 0.054, 0.653], [0.946, 0.624, 0.347], [0.836, 0.164, 0.000], [0.663, 0.337, 0.500], [0.731, 0.731, 0.668], [0.337, 0.663, 0.500], [0.164, 0.836, 0.000], [0.054, 0.376, 0.653], [0.269, 0.269, 0.332], [0.624, 0.946, 0.347]], "spacegroup": "C2/m", "dos_ef_per_ev_cell": 3.1, "final_energy_ev_per_cell": -69.620}